Record 1
Material: HoBPt5
Method: DFT, GGA-PBE
State: optimized geometry

Unit cell a=3.9313 b=3.9313 c=7.0778 alpha=90.00 beta=90.00 gamma=90.00
Fractional positions:
Ho  0.0000  0.0000  0.0000
B  0.5000  0.5000  0.5000
Pt  0.0000  0.5000  0.3094
Pt  0.0000  0.5000  0.6906
Pt  0.5000  0.0000  0.3094
Pt  0.5000  0.0000  0.6906
Pt  0.5000  0.5000  0.0000

Its size of the total moment is 0.0 μB per formula unit. The total energy is -6.5640 eV per atom. The formation enthalpy at 0 K is -0.64 eV per atom.


Record 2
Material: HoBPt6
Method: DFT, GGA-PBE
State: optimized geometry

Unit cell a=6.0645 b=6.0645 c=6.0645 alpha=54.71 beta=54.71 gamma=54.71
Fractional positions:
Ho  0.0000  0.0000  0.0000
B  0.5000  0.5000  0.5000
Pt  0.0726  0.5931  0.5931
Pt  0.4069  0.4069  0.9274
Pt  0.4069  0.9274  0.4069
Pt  0.5931  0.0726  0.5931
Pt  0.5931  0.5931  0.0726
Pt  0.9274  0.4069  0.4069

Its size of the total moment is 0.0 μB per formula unit. The total energy is -6.4931 eV per atom. The formation enthalpy at 0 K is -0.56 eV per atom.


Record 3
Material: HoBPt3
Method: DFT, GGA-PBE
State: optimized geometry

Unit cell a=5.2892 b=5.6114 c=5.4078 alpha=90.00 beta=96.14 gamma=90.00
Fractional positions:
Ho  0.1401  0.2500  0.1962
Ho  0.8599  0.7500  0.8038
B  0.3722  0.7500  0.0387
B  0.6278  0.2500  0.9613
Pt  0.1304  0.7500  0.3194
Pt  0.3606  0.0054  0.7408
Pt  0.3606  0.4946  0.7408
Pt  0.6394  0.5054  0.2592
Pt  0.6394  0.9946  0.2592
Pt  0.8696  0.2500  0.6806

Its size of the total moment is 0.0 μB per formula unit. The total energy is -6.7526 eV per atom. The formation enthalpy at 0 K is -0.88 eV per atom.


Record 4
Material: Ho3B2Pt9
Method: DFT, GGA-PBE
State: optimized geometry

Unit cell a=5.9967 b=5.9967 c=14.6704 alpha=90.00 beta=90.00 gamma=120.00
Fractional positions:
Ho  0.0000  0.0000  0.2500
Ho  0.0000  0.0000  0.7500
Ho  0.3333  0.6667  0.0787
Ho  0.3333  0.6667  0.4213
Ho  0.6667  0.3333  0.5787
Ho  0.6667  0.3333  0.9213
B  0.3333  0.6667  0.6600
B  0.3333  0.6667  0.8400
B  0.6667  0.3333  0.1600
B  0.6667  0.3333  0.3400
Pt  0.0143  0.5072  0.2500
Pt  0.1602  0.3204  0.5810
Pt  0.1602  0.3204  0.9190
Pt  0.1602  0.8398  0.5810
Pt  0.1602  0.8398  0.9190
Pt  0.3204  0.1602  0.0810
Pt  0.3204  0.1602  0.4190
Pt  0.4928  0.5072  0.2500
Pt  0.4928  0.9857  0.2500
Pt  0.5072  0.0143  0.7500
Pt  0.5072  0.4928  0.7500
Pt  0.6796  0.8398  0.5810
Pt  0.6796  0.8398  0.9190
Pt  0.8398  0.1602  0.0810
Pt  0.8398  0.1602  0.4190
Pt  0.8398  0.6796  0.0810
Pt  0.8398  0.6796  0.4190
Pt  0.9857  0.4928  0.7500

Its size of the total moment is 0.0 μB per formula unit. The total energy is -6.7469 eV per atom. The formation enthalpy at 0 K is -0.93 eV per atom.


Record 5
Material: Ho3B2PtRh9
Method: DFT, GGA-PBE
State: optimized geometry

Unit cell a=5.7247 b=5.7247 c=8.8520 alpha=90.00 beta=90.00 gamma=120.00
Fractional positions:
Ho  0.0000  0.0000  0.0000
Ho  0.3333  0.6667  0.6283
Ho  0.6667  0.3333  0.3717
B  0.3333  0.6667  0.1455
B  0.6667  0.3333  0.8545
Pt  0.0000  0.0000  0.5000
Rh  0.0000  0.5000  0.0000
Rh  0.1612  0.3224  0.2697
Rh  0.1612  0.8388  0.2697
Rh  0.3224  0.1612  0.7303
Rh  0.5000  0.0000  0.0000
Rh  0.5000  0.5000  0.0000
Rh  0.6776  0.8388  0.2697
Rh  0.8388  0.1612  0.7303
Rh  0.8388  0.6776  0.7303

Its size of the total moment is 0.0 μB per formula unit. The total energy is -7.1325 eV per atom. The formation enthalpy at 0 K is -0.51 eV per atom.


Record 6
Material: Ho2B2PtRh5
Method: DFT, GGA-PBE
State: optimized geometry

Unit cell a=9.4991 b=9.4991 c=3.2427 alpha=90.00 beta=90.00 gamma=90.00
Fractional positions:
Ho  0.1773  0.3227  0.0000
Ho  0.3227  0.8227  0.0000
Ho  0.6773  0.1773  0.0000
Ho  0.8227  0.6773  0.0000
B  0.1225  0.6225  0.0000
B  0.3775  0.1225  0.0000
B  0.6225  0.8775  0.0000
B  0.8775  0.3775  0.0000
Pt  0.0000  0.0000  0.0000
Pt  0.5000  0.5000  0.0000
Rh  0.0000  0.5000  0.5000
Rh  0.0705  0.7749  0.5000
Rh  0.2251  0.0705  0.5000
Rh  0.2749  0.5705  0.5000
Rh  0.4295  0.2749  0.5000
Rh  0.5000  0.0000  0.5000
Rh  0.5705  0.7251  0.5000
Rh  0.7251  0.4295  0.5000
Rh  0.7749  0.9295  0.5000
Rh  0.9295  0.2251  0.5000

Its size of the total moment is 0.0 μB per formula unit. The total energy is -7.2252 eV per atom. The formation enthalpy at 0 K is -0.69 eV per atom.


Record 7
Material: Ho2ZnBPt6
Method: DFT, GGA-PBE
State: optimized geometry

Unit cell a=7.3277 b=7.3277 c=7.3277 alpha=44.86 beta=44.86 gamma=44.86
Fractional positions:
Ho  0.2085  0.2085  0.2085
Ho  0.7915  0.7915  0.7915
Zn  0.5000  0.5000  0.5000
B  0.0000  0.0000  0.0000
Pt  0.2368  0.2368  0.7252
Pt  0.2368  0.7252  0.2368
Pt  0.2748  0.7632  0.7632
Pt  0.7252  0.2368  0.2368
Pt  0.7632  0.2748  0.7632
Pt  0.7632  0.7632  0.2748

Its size of the total moment is 0.0 μB per formula unit. The total energy is -6.2221 eV per atom. The formation enthalpy at 0 K is -0.89 eV per atom.


Record 8
Material: HoPuB4
Method: DFT, GGA-PBE
State: optimized geometry

Unit cell a=6.1562 b=11.9369 c=3.9657 alpha=90.00 beta=90.00 gamma=90.00
Fractional positions:
Ho  0.1174  0.1576  0.0000
Ho  0.3826  0.6576  0.0000
Ho  0.6174  0.3424  0.0000
Ho  0.8826  0.8424  0.0000
Pu  0.1268  0.4196  0.0000
Pu  0.3732  0.9196  0.0000
Pu  0.6268  0.0804  0.0000
Pu  0.8732  0.5804  0.0000
B  0.0315  0.6964  0.5000
B  0.1275  0.9719  0.5000
B  0.1337  0.5565  0.5000
B  0.2068  0.8127  0.5000
B  0.2932  0.3127  0.5000
B  0.3663  0.0565  0.5000
B  0.3725  0.4719  0.5000
B  0.4685  0.1964  0.5000
B  0.5315  0.8036  0.5000
B  0.6275  0.5281  0.5000
B  0.6337  0.9435  0.5000
B  0.7068  0.6873  0.5000
B  0.7932  0.1873  0.5000
B  0.8663  0.4435  0.5000
B  0.8725  0.0281  0.5000
B  0.9685  0.3036  0.5000

Its size of the total moment is 4.7 μB per formula unit. The total energy is -7.8416 eV per atom. The formation enthalpy at 0 K is -0.24 eV per atom.


Record 9
Material: Ho2PuB6
Method: DFT, GGA-PBE
State: optimized geometry

Unit cell a=5.6271 b=5.6271 c=3.8996 alpha=90.00 beta=90.00 gamma=120.00
Fractional positions:
Ho  0.3333  0.6667  0.0000
Ho  0.6667  0.3333  0.0000
Pu  0.0000  0.0000  0.0000
B  0.0000  0.3316  0.5000
B  0.0000  0.6684  0.5000
B  0.3316  0.0000  0.5000
B  0.3316  0.3316  0.5000
B  0.6684  0.0000  0.5000
B  0.6684  0.6684  0.5000

Its size of the total moment is 5.2 μB per formula unit. The total energy is -7.5559 eV per atom. The formation enthalpy at 0 K is -0.49 eV per atom.


Record 10
Material: HoPuB12
Method: DFT, GGA-PBE
State: optimized geometry

Unit cell a=4.0996 b=4.0996 c=8.1993 alpha=90.00 beta=90.00 gamma=90.00
Fractional positions:
Ho  0.0000  0.0000  0.0000
Pu  0.0000  0.0000  0.5000
B  0.1987  0.5000  0.2489
B  0.1987  0.5000  0.7511
B  0.5000  0.1987  0.2489
B  0.5000  0.1987  0.7511
B  0.5000  0.5000  0.0990
B  0.5000  0.5000  0.4004
B  0.5000  0.5000  0.5996
B  0.5000  0.5000  0.9010
B  0.5000  0.8013  0.2489
B  0.5000  0.8013  0.7511
B  0.8013  0.5000  0.2489
B  0.8013  0.5000  0.7511

Its size of the total moment is 5.4 μB per formula unit. The total energy is -7.4609 eV per atom. The formation enthalpy at 0 K is -0.39 eV per atom.